Entry 1:
Cs2MgAu4 | PBE | relaxed

Output
Energy relative to the elements: -18.3 kJ per mole of atoms

Unit cell a=5.3539 b=5.3539 c=17.9993 alpha=90.00 beta=90.00 gamma=90.00
Closest atoms and distances in Å follow each position.
Space group I4/mmm (No. 139)
Inequivalent atoms, fractional coordinates:
Cs (0.0000, 0.0000, 0.1440)  9 Au 3.73-3.79
Mg (0.0000, 0.0000, 0.5000)  6 Au 2.63-2.68
Au (0.0000, 0.0000, 0.3538)  1 Mg 2.63
Au (0.0000, 0.5000, 0.0000)  2 Mg 2.68

***

Entry 2:
Cs2NaMgAu | PBE | relaxed

Output
Energy relative to the elements: -6.7 kJ per mole of atoms
Energy above the most stable polymorph in this dataset: 0 meV per atom

Unit cell a=7.0021 b=7.0021 c=5.4295 alpha=90.00 beta=90.00 gamma=90.00
Closest atoms and distances in Å follow each position.
Space group P4/mmm (No. 123)
Inequivalent atoms, fractional coordinates:
Cs (0.0000, 0.5000, 0.0000)  2 Au 3.50
Na (0.0000, 0.0000, 0.5000)  8 Cs 4.43, 4 Mg 4.95
Mg (0.5000, 0.5000, 0.5000)  2 Au 2.71
Au (0.5000, 0.5000, 0.0000)  2 Mg 2.71

***

Entry 3:
Cs2NaMgAu | PBE | relaxed

Output
Energy relative to the elements: 27.5 kJ per mole of atoms
Energy above the most stable polymorph in this dataset: 354 meV per atom

Unit cell a=7.2806 b=7.2806 c=5.9257 alpha=90.00 beta=90.00 gamma=90.00
Closest atoms and distances in Å follow each position.
Space group P4/mmm (No. 123)
Inequivalent atoms, fractional coordinates:
Cs (0.0000, 0.5000, 0.0000)  2 Mg 3.64
Na (0.0000, 0.0000, 0.5000)  2 Mg 2.96
Mg (0.0000, 0.0000, 0.0000)  2 Na 2.96
Au (0.5000, 0.5000, 0.5000)  8 Cs 4.69, 4 Na 5.15

***

Entry 4:
CsNa2MgAu | PBE | relaxed

Output
Energy relative to the elements: -10.4 kJ per mole of atoms

Unit cell a=5.8864 b=5.8864 c=5.4154 alpha=90.00 beta=90.00 gamma=90.00
Closest atoms and distances in Å follow each position.
Space group P4/mmm (No. 123)
Inequivalent atoms, fractional coordinates:
Cs (0.0000, 0.0000, 0.0000)  8 Na 4.00, 4 Mg 4.16
Na (0.0000, 0.5000, 0.5000)  2 Au 2.94
Mg (0.5000, 0.5000, 0.0000)  2 Au 2.71
Au (0.5000, 0.5000, 0.5000)  2 Mg 2.71, 4 Na 2.94

***

Entry 5:
CsMgNbAu2 | PBE | relaxed

Output
Energy relative to the elements: 109.3 kJ per mole of atoms

Unit cell a=5.1331 b=5.1331 c=5.6863 alpha=90.00 beta=90.00 gamma=90.00
Closest atoms and distances in Å follow each position.
Space group P4/mmm (No. 123)
Inequivalent atoms, fractional coordinates:
Cs (0.0000, 0.0000, 0.0000)  2 Mg 2.84
Mg (0.0000, 0.0000, 0.5000)  4 Au 2.57, 2 Cs 2.84
Nb (0.5000, 0.5000, 0.0000)  4 Cs 3.63, 8 Au 3.83
Au (0.0000, 0.5000, 0.5000)  2 Mg 2.57

***

Entry 6:
CsMgPAu2 | PBE | relaxed

Output
Energy relative to the elements: -3.4 kJ per mole of atoms

Unit cell a=5.3050 b=5.3050 c=4.8661 alpha=90.00 beta=90.00 gamma=90.00
Closest atoms and distances in Å follow each position.
Space group P4/mmm (No. 123)
Inequivalent atoms, fractional coordinates:
Cs (0.0000, 0.0000, 0.0000)  8 Au 3.60, 4 Mg 3.75
Mg (0.5000, 0.5000, 0.0000)  2 P 2.43
P (0.5000, 0.5000, 0.5000)  2 Mg 2.43, 4 Au 2.65
Au (0.0000, 0.5000, 0.5000)  2 P 2.65

***

Entry 7:
CsMgPt2Au | PBE | relaxed

Output
Energy relative to the elements: 169.5 kJ per mole of atoms

Unit cell a=5.1535 b=5.1535 c=6.5363 alpha=90.00 beta=90.00 gamma=90.00
Closest atoms and distances in Å follow each position.
Space group P4/mmm (No. 123)
Inequivalent atoms, fractional coordinates:
Cs (0.0000, 0.0000, 0.0000)  4 Pt 2.58
Mg (0.0000, 0.0000, 0.5000)  2 Cs 3.27, 4 Au 3.64
Pt (0.0000, 0.5000, 0.0000)  2 Cs 2.58
Au (0.5000, 0.5000, 0.5000)  4 Mg 3.64

***

Entry 8:
CsRb2MgAu | PBE | relaxed

Output
Energy relative to the elements: -5.2 kJ per mole of atoms

Unit cell a=6.8912 b=6.8912 c=5.5551 alpha=90.00 beta=90.00 gamma=90.00
Closest atoms and distances in Å follow each position.
Space group P4/mmm (No. 123)
Inequivalent atoms, fractional coordinates:
Cs (0.0000, 0.0000, 0.0000)  8 Rb 4.43, 4 Mg 4.87
Rb (0.0000, 0.5000, 0.5000)  2 Au 3.45
Mg (0.5000, 0.5000, 0.0000)  2 Au 2.78
Au (0.5000, 0.5000, 0.5000)  2 Mg 2.78

***

Entry 9:
Cs2RbMgAu | PBE | relaxed

Output
Energy relative to the elements: -6.4 kJ per mole of atoms

Unit cell a=7.1707 b=7.1707 c=5.5390 alpha=90.00 beta=90.00 gamma=90.00
Closest atoms and distances in Å follow each position.
Space group P4/mmm (No. 123)
Inequivalent atoms, fractional coordinates:
Cs (0.0000, 0.5000, 0.0000)  2 Au 3.59
Rb (0.0000, 0.0000, 0.5000)  8 Cs 4.53, 4 Mg 5.07
Mg (0.5000, 0.5000, 0.5000)  2 Au 2.77
Au (0.5000, 0.5000, 0.0000)  2 Mg 2.77

***

Entry 10:
CsMgSb2Au | PBE | relaxed

Output
E_form (uncorrected): 0.39 eV per atom

Unit cell a=5.3098 b=5.3098 c=7.5265 alpha=90.00 beta=90.00 gamma=90.00
Closest atoms and distances in Å follow each position.
Space group P4/mmm (No. 123)
Inequivalent atoms, fractional coordinates:
Cs (0.0000, 0.0000, 0.0000)  4 Au 3.75, 2 Mg 3.76
Mg (0.0000, 0.0000, 0.5000)  4 Sb 2.65
Sb (0.0000, 0.5000, 0.5000)  2 Mg 2.65
Au (0.5000, 0.5000, 0.0000)  4 Cs 3.75

***

Entry 11:
CsMg2TeAu | PBE | relaxed

Output
E_form (uncorrected): -0.29 eV per atom

Unit cell a=5.2991 b=5.2991 c=5.9359 alpha=90.00 beta=90.00 gamma=90.00
Closest atoms and distances in Å follow each position.
Space group P4/mmm (No. 123)
Inequivalent atoms, fractional coordinates:
Cs (0.0000, 0.0000, 0.0000)  4 Te 3.75, 8 Mg 3.98
Mg (0.0000, 0.5000, 0.5000)  2 Au 2.65
Te (0.5000, 0.5000, 0.0000)  2 Au 2.97
Au (0.5000, 0.5000, 0.5000)  4 Mg 2.65

***

Entry 12:
Cs2MgTlAu | PBE | relaxed

Output
Energy relative to the elements: 23.1 kJ per mole of atoms

Unit cell a=7.2631 b=7.2631 c=5.3926 alpha=90.00 beta=90.00 gamma=90.00
Closest atoms and distances in Å follow each position.
Space group P4/mmm (No. 123)
Inequivalent atoms, fractional coordinates:
Cs (0.0000, 0.5000, 0.0000)  2 Mg 3.63
Mg (0.0000, 0.0000, 0.0000)  2 Tl 2.70
Tl (0.0000, 0.0000, 0.5000)  2 Mg 2.70
Au (0.5000, 0.5000, 0.5000)  8 Cs 4.52